(1)
! NdEuInRh | the Alexandria database | PBE-GGA | optimized geometry; values from VASP
&SYSTEM
  ibrav = 0, nat = 4, ntyp = 4
/
ATOMIC_SPECIES
Eu 151.96 Eu.upf
Rh 102.91 Rh.upf
Nd 144.24 Nd.upf
In 114.82 In.upf
CELL_PARAMETERS angstrom
-0.938 -3.236 -4.030
4.006 -2.231 -2.564
0.898 -5.151 0.504
ATOMIC_POSITIONS crystal
Eu 0.250 0.250 0.250
Rh 0.000 0.000 0.000
Nd 0.750 0.750 0.750
In 0.500 0.500 0.500
! crystal system: cubic
! symmetry: F-43m
! uncorrected energy: -26.672 eV/f.u.



(2)
! NdSmEuIn | the Alexandria database | PBE-GGA | optimized geometry; values from VASP
&SYSTEM
  ibrav = 0, nat = 4, ntyp = 4
/
ATOMIC_SPECIES
Eu 151.96 Eu.upf
Nd 144.24 Nd.upf
Sm 150.36 Sm.upf
In 114.82 In.upf
CELL_PARAMETERS angstrom
5.611 0.000 0.000
2.806 4.860 0.000
2.806 1.620 4.582
ATOMIC_POSITIONS crystal
Eu 0.750 0.750 0.750
Nd 0.000 0.000 0.000
Sm 0.500 0.500 0.500
In 0.250 0.250 0.250
! crystal system: cubic
! symmetry: F-43m
! uncorrected energy: -23.147 eV/f.u.



(3)
! NdEuInSn | the Alexandria database | PBE-GGA | optimized geometry; values from VASP
&SYSTEM
  ibrav = 0, nat = 4, ntyp = 4
/
ATOMIC_SPECIES
Eu 151.96 Eu.upf
Nd 144.24 Nd.upf
Sn 118.71 Sn.upf
In 114.82 In.upf
CELL_PARAMETERS angstrom
5.512 0.000 0.000
2.756 4.774 0.000
2.756 1.591 4.501
ATOMIC_POSITIONS crystal
Eu 0.000 0.000 0.000
Nd 0.500 0.500 0.500
Sn 0.250 0.250 0.250
In 0.750 0.750 0.750
! crystal system: cubic
! symmetry: F-43m
! uncorrected energy: -23.956 eV/f.u.



(4)
! NdEuThIn | the Alexandria database | PBE-GGA | optimized geometry; values from VASP
&SYSTEM
  ibrav = 0, nat = 4, ntyp = 4
/
ATOMIC_SPECIES
Eu 151.96 Eu.upf
Nd 144.24 Nd.upf
Th 232.04 Th.upf
In 114.82 In.upf
CELL_PARAMETERS angstrom
5.599 0.000 0.000
2.799 4.849 0.000
2.799 1.616 4.571
ATOMIC_POSITIONS crystal
Eu 0.000 0.000 0.000
Nd 0.250 0.250 0.250
Th 0.750 0.750 0.750
In 0.500 0.500 0.500
! crystal system: cubic
! symmetry: F-43m
! uncorrected energy: -25.356 eV/f.u.



(5)
! EuIn4Ni | the Alexandria database | PBE-GGA | optimized geometry; values from VASP
&SYSTEM
  ibrav = 0, nat = 12, ntyp = 3
/
ATOMIC_SPECIES
Eu 151.96 Eu.upf
In 114.82 In.upf
Ni 58.69 Ni.upf
CELL_PARAMETERS angstrom
8.896 -0.013 0.000
-7.724 4.414 0.000
0.000 0.000 7.184
ATOMIC_POSITIONS crystal
Eu 0.880 0.120 0.250
Eu 0.120 0.880 0.750
In 0.311 0.689 0.954
In 0.689 0.311 0.454
In 0.073 0.927 0.250
In 0.311 0.689 0.546
In 0.927 0.073 0.750
In 0.500 0.500 0.500
In 0.500 0.500 0.000
In 0.689 0.311 0.046
Ni 0.222 0.778 0.250
Ni 0.778 0.222 0.750
! crystal system: orthorhombic
! symmetry: Cmcm
! uncorrected energy: -29.040 eV/f.u.



(6)
! EuInNi4 | the Alexandria database | PBE-GGA | optimized geometry; values from VASP
&SYSTEM
  ibrav = 0, nat = 6, ntyp = 3
/
ATOMIC_SPECIES
Eu 151.96 Eu.upf
Ni 58.69 Ni.upf
In 114.82 In.upf
CELL_PARAMETERS angstrom
-4.648 1.198 1.541
-3.902 -0.470 -3.158
-3.422 -3.627 0.743
ATOMIC_POSITIONS crystal
Eu 0.250 0.250 0.250
Ni 0.626 0.626 0.121
Ni 0.626 0.121 0.626
Ni 0.626 0.626 0.626
Ni 0.121 0.626 0.626
In 0.000 0.000 0.000
! crystal system: cubic
! symmetry: F-43m
! uncorrected energy: -37.363 eV/f.u.



(7)
! Eu2In4Ni | the Alexandria database | PBE-GGA | optimized geometry; values from VASP
&SYSTEM
  ibrav = 0, nat = 7, ntyp = 3
/
ATOMIC_SPECIES
Eu 151.96 Eu.upf
Ni 58.69 Ni.upf
In 114.82 In.upf
CELL_PARAMETERS angstrom
-0.021 4.542 -1.835
-4.690 0.511 1.319
0.096 5.581 7.276
ATOMIC_POSITIONS crystal
Eu 0.655 0.655 0.690
Eu 0.345 0.345 0.310
Ni 0.000 0.000 0.000
In 0.848 0.848 0.304
In 0.152 0.152 0.696
In 0.000 0.500 0.000
In 0.500 0.000 0.000
! crystal system: tetragonal
! symmetry: I4/mmm
! uncorrected energy: -38.959 eV/f.u.



(8)
! Eu2InNi | the Alexandria database | PBE-GGA | optimized geometry; values from VASP
&SYSTEM
  ibrav = 0, nat = 4, ntyp = 3
/
ATOMIC_SPECIES
Eu 151.96 Eu.upf
Ni 58.69 Ni.upf
In 114.82 In.upf
CELL_PARAMETERS angstrom
-0.805 3.363 0.730
-3.433 -0.836 0.061
0.541 -1.632 8.113
ATOMIC_POSITIONS crystal
Eu 0.000 0.000 0.791
Eu 0.000 0.000 0.209
Ni 0.500 0.500 0.000
In 0.500 0.500 0.500
! crystal system: tetragonal
! symmetry: P4/mmm
! uncorrected energy: -29.956 eV/f.u.



(9)
! EuIn3Ni | the Alexandria database | PBE-GGA | optimized geometry; values from VASP
&SYSTEM
  ibrav = 0, nat = 5, ntyp = 3
/
ATOMIC_SPECIES
Eu 151.96 Eu.upf
Ni 58.69 Ni.upf
In 114.82 In.upf
CELL_PARAMETERS angstrom
5.005 0.000 0.000
0.000 5.005 0.000
0.000 0.000 5.005
ATOMIC_POSITIONS crystal
Eu 0.500 0.500 0.500
Ni 0.000 0.000 0.000
In 0.000 0.500 0.000
In 0.000 0.000 0.500
In 0.500 0.000 0.000
! crystal system: cubic
! symmetry: Pm-3m
! uncorrected energy: -25.527 eV/f.u.



(10)
! EuInNiPd | the Alexandria database | PBE-GGA | optimized geometry; values from VASP
&SYSTEM
  ibrav = 0, nat = 4, ntyp = 4
/
ATOMIC_SPECIES
Eu 151.96 Eu.upf
Ni 58.69 Ni.upf
Pd 106.42 Pd.upf
In 114.82 In.upf
CELL_PARAMETERS angstrom
-0.563 -0.198 -4.776
2.942 -2.727 -2.659
-1.655 -4.021 -2.063
ATOMIC_POSITIONS crystal
Eu 0.000 0.000 0.000
Ni 0.250 0.250 0.250
Pd 0.750 0.750 0.750
In 0.500 0.500 0.500
! crystal system: cubic
! symmetry: F-43m
! uncorrected energy: -25.296 eV/f.u.



(11)
! PrEuInNi | the Alexandria database | PBE-GGA | optimized geometry; values from VASP
&SYSTEM
  ibrav = 0, nat = 4, ntyp = 4
/
ATOMIC_SPECIES
Eu 151.96 Eu.upf
Pr 140.91 Pr.upf
Ni 58.69 Ni.upf
In 114.82 In.upf
CELL_PARAMETERS angstrom
5.300 0.000 0.000
2.650 4.590 0.000
2.650 1.530 4.327
ATOMIC_POSITIONS crystal
Eu 0.500 0.500 0.500
Pr 0.000 0.000 0.000
Ni 0.250 0.250 0.250
In 0.750 0.750 0.750
! crystal system: cubic
! symmetry: F-43m
! uncorrected energy: -24.269 eV/f.u.



(12)
! EuNpIn4 | the Alexandria database | PBE-GGA | optimized geometry; values from VASP
&SYSTEM
  ibrav = 0, nat = 6, ntyp = 3
/
ATOMIC_SPECIES
Np 237.00 Np.upf
Eu 151.96 Eu.upf
In 114.82 In.upf
CELL_PARAMETERS angstrom
6.102 0.000 0.000
3.051 5.285 0.000
3.051 1.762 4.983
ATOMIC_POSITIONS crystal
Np 0.000 0.000 0.000
Eu 0.250 0.250 0.250
In 0.625 0.625 0.124
In 0.625 0.124 0.625
In 0.625 0.625 0.625
In 0.124 0.625 0.625
! crystal system: cubic
! symmetry: F-43m
! uncorrected energy: -34.559 eV/f.u.



(13)
! Eu3In5O12 | the Alexandria database | PBE-GGA | optimized geometry; values from VASP
&SYSTEM
  ibrav = 0, nat = 80, ntyp = 3
/
ATOMIC_SPECIES
Eu 151.96 Eu.upf
In 114.82 In.upf
O 16.00 O.upf
CELL_PARAMETERS angstrom
-8.855 3.922 -6.284
6.755 -6.644 -6.596
-4.022 -6.205 8.866
ATOMIC_POSITIONS crystal
Eu 0.750 0.375 0.125
Eu 0.875 0.750 0.125
Eu 0.375 0.750 0.625
Eu 0.250 0.125 0.375
Eu 0.875 0.125 0.250
Eu 0.375 0.625 0.250
Eu 0.625 0.375 0.750
Eu 0.125 0.875 0.750
Eu 0.750 0.875 0.625
Eu 0.625 0.250 0.375
Eu 0.125 0.250 0.875
Eu 0.250 0.625 0.875
In 0.125 0.375 0.250
In 0.000 0.500 0.000
In 0.000 0.000 0.000
In 0.375 0.250 0.125
In 0.500 0.000 0.500
In 0.500 0.500 0.000
In 0.125 0.750 0.375
In 0.750 0.125 0.875
In 0.750 0.625 0.375
In 0.375 0.125 0.750
In 0.625 0.875 0.250
In 0.500 0.500 0.500
In 0.500 0.000 0.000
In 0.000 0.000 0.500
In 0.250 0.375 0.625
In 0.250 0.875 0.125
In 0.000 0.500 0.500
In 0.875 0.250 0.625
In 0.625 0.750 0.875
In 0.875 0.625 0.750
O 0.713 0.129 0.039
O 0.326 0.539 0.410
O 0.961 0.371 0.287
O 0.539 0.213 0.129
O 0.584 0.713 0.674
O 0.961 0.590 0.174
O 0.326 0.787 0.416
O 0.090 0.916 0.129
O 0.590 0.961 0.674
O 0.713 0.584 0.174
O 0.787 0.461 0.371
O 0.826 0.910 0.039
O 0.129 0.713 0.539
O 0.371 0.410 0.084
O 0.084 0.910 0.371
O 0.416 0.129 0.590
O 0.084 0.174 0.213
O 0.461 0.674 0.090
O 0.826 0.916 0.287
O 0.129 0.416 0.090
O 0.371 0.961 0.787
O 0.590 0.629 0.416
O 0.910 0.826 0.539
O 0.787 0.326 0.916
O 0.410 0.371 0.584
O 0.090 0.174 0.461
O 0.213 0.674 0.084
O 0.174 0.084 0.713
O 0.629 0.039 0.213
O 0.871 0.584 0.910
O 0.539 0.326 0.910
O 0.584 0.871 0.410
O 0.916 0.826 0.787
O 0.916 0.090 0.629
O 0.871 0.287 0.461
O 0.174 0.090 0.961
O 0.629 0.590 0.916
O 0.410 0.039 0.326
O 0.287 0.416 0.826
O 0.213 0.539 0.629
O 0.910 0.084 0.871
O 0.674 0.213 0.584
O 0.461 0.787 0.871
O 0.039 0.410 0.826
O 0.416 0.287 0.326
O 0.039 0.629 0.713
O 0.674 0.461 0.590
O 0.287 0.871 0.961
! formation energy (no corrections): -1.93 eV per atom
! crystal system: cubic
! symmetry: Ia-3d



(14)
! EuInO3 | the Alexandria database | PBE-GGA | optimized geometry; values from VASP
&SYSTEM
  ibrav = 0, nat = 30, ntyp = 3
/
ATOMIC_SPECIES
Eu 151.96 Eu.upf
In 114.82 In.upf
O 16.00 O.upf
CELL_PARAMETERS angstrom
-5.085 -0.118 -4.029
0.418 -4.319 4.825
-6.141 7.807 7.521
ATOMIC_POSITIONS crystal
Eu 0.667 0.333 0.967
Eu 0.333 0.667 0.467
Eu 0.667 0.333 0.467
Eu 0.333 0.667 0.967
Eu 0.000 0.000 0.992
Eu 0.000 0.000 0.492
In 0.667 0.667 0.727
In 0.000 0.333 0.727
In 0.333 0.333 0.227
In 0.000 0.667 0.227
In 0.333 0.000 0.727
In 0.667 0.000 0.227
O 0.684 0.684 0.897
O 0.000 0.316 0.897
O 0.316 0.316 0.397
O 0.000 0.684 0.397
O 0.316 0.000 0.897
O 0.684 0.000 0.397
O 0.647 0.647 0.558
O 0.000 0.353 0.558
O 0.353 0.353 0.058
O 0.000 0.647 0.058
O 0.353 0.000 0.558
O 0.647 0.000 0.058
O 0.000 0.000 0.703
O 0.000 0.000 0.203
O 0.667 0.333 0.745
O 0.333 0.667 0.245
O 0.667 0.333 0.245
O 0.333 0.667 0.745
! formation energy (no corrections): -2.14 eV per atom
! crystal system: hexagonal
! symmetry: P6_3cm



(15)
! EuInO3 | the Alexandria database | PBE-GGA | optimized geometry; values from VASP
&SYSTEM
  ibrav = 0, nat = 5, ntyp = 3
/
ATOMIC_SPECIES
Eu 151.96 Eu.upf
In 114.82 In.upf
O 16.00 O.upf
CELL_PARAMETERS angstrom
-4.067 0.608 0.688
-0.907 -2.175 -3.440
-0.143 -3.506 2.254
ATOMIC_POSITIONS crystal
Eu 0.000 0.000 0.000
In 0.500 0.500 0.500
O 0.500 0.500 0.000
O 0.500 0.000 0.500
O 0.000 0.500 0.500
! formation energy (no corrections): -1.80 eV per atom
! crystal system: cubic
! symmetry: Pm-3m



(16)
! EuInO3 | the Alexandria database | PBE-GGA | optimized geometry; values from VASP
&SYSTEM
  ibrav = 0, nat = 20, ntyp = 3
/
ATOMIC_SPECIES
Eu 151.96 Eu.upf
In 114.82 In.upf
O 16.00 O.upf
CELL_PARAMETERS angstrom
5.691 0.000 0.000
0.000 5.971 0.000
0.000 0.000 8.188
ATOMIC_POSITIONS crystal
Eu 0.018 0.438 0.250
Eu 0.982 0.562 0.750
Eu 0.518 0.062 0.750
Eu 0.482 0.938 0.250
In 0.000 0.000 0.000
In 0.500 0.500 0.000
In 0.000 0.000 0.500
In 0.500 0.500 0.500
O 0.312 0.192 0.067
O 0.688 0.808 0.933
O 0.812 0.308 0.933
O 0.688 0.808 0.567
O 0.188 0.692 0.067
O 0.312 0.192 0.433
O 0.188 0.692 0.433
O 0.812 0.308 0.567
O 0.631 0.560 0.250
O 0.369 0.440 0.750
O 0.131 0.940 0.750
O 0.869 0.060 0.250
! formation energy (no corrections): -2.09 eV per atom
! crystal system: orthorhombic
! symmetry: Pnma



(17)
! SrEuTiInO6 | the Alexandria database | PBE-GGA | optimized geometry; values from VASP
&SYSTEM
  ibrav = 0, nat = 10, ntyp = 5
/
ATOMIC_SPECIES
Sr 87.62 Sr.upf
Eu 151.96 Eu.upf
Ti 47.87 Ti.upf
In 114.82 In.upf
O 16.00 O.upf
CELL_PARAMETERS angstrom
0.000 4.064 4.064
4.064 0.000 4.064
4.064 4.064 0.000
ATOMIC_POSITIONS crystal
Sr 0.250 0.250 0.250
Eu 0.750 0.750 0.750
Ti 0.500 0.500 0.500
In 0.000 0.000 0.000
O 0.261 0.739 0.261
O 0.739 0.261 0.739
O 0.261 0.739 0.739
O 0.739 0.261 0.261
O 0.261 0.261 0.739
O 0.739 0.739 0.261
! formation energy (no corrections): -2.50 eV per atom
! crystal system: cubic
! symmetry: F-43m



(18)
! Eu2TiInO6 | the Alexandria database | PBE-GGA | optimized geometry; values from VASP
&SYSTEM
  ibrav = 0, nat = 10, ntyp = 4
/
ATOMIC_SPECIES
Eu 151.96 Eu.upf
Ti 47.87 Ti.upf
In 114.82 In.upf
O 16.00 O.upf
CELL_PARAMETERS angstrom
0.000 4.047 4.047
4.047 0.000 4.047
4.047 4.047 0.000
ATOMIC_POSITIONS crystal
Eu 0.250 0.250 0.250
Eu 0.750 0.750 0.750
Ti 0.500 0.500 0.500
In 0.000 0.000 0.000
O 0.260 0.740 0.260
O 0.740 0.260 0.740
O 0.740 0.740 0.260
O 0.260 0.260 0.740
O 0.260 0.740 0.740
O 0.740 0.260 0.260
! formation energy (no corrections): -2.55 eV per atom
! crystal system: cubic
! symmetry: Fm-3m



(19)
! EuInP | the Alexandria database | PBE-GGA | optimized geometry; values from VASP
&SYSTEM
  ibrav = 0, nat = 3, ntyp = 3
/
ATOMIC_SPECIES
Eu 151.96 Eu.upf
P 30.97 P.upf
In 114.82 In.upf
CELL_PARAMETERS angstrom
5.523 0.000 0.000
0.000 4.159 0.000
0.000 -2.079 3.601
ATOMIC_POSITIONS crystal
Eu 0.724 0.667 0.333
P 0.017 0.000 0.000
In 0.259 0.333 0.667
! crystal system: trigonal
! symmetry: P3m1
! uncorrected energy: -20.442 eV/f.u.



(20)
! Eu3In2P4 | the Alexandria database | PBE-GGA | optimized geometry; values from VASP
&SYSTEM
  ibrav = 0, nat = 18, ntyp = 3
/
ATOMIC_SPECIES
Eu 151.96 Eu.upf
In 114.82 In.upf
P 30.97 P.upf
CELL_PARAMETERS angstrom
4.308 0.000 0.000
0.000 6.641 0.000
0.000 0.000 15.984
ATOMIC_POSITIONS crystal
Eu 0.000 0.201 0.301
Eu 0.000 0.799 0.699
Eu 0.500 0.299 0.801
Eu 0.500 0.701 0.199
Eu 0.500 0.000 0.000
Eu 0.000 0.500 0.500
In 0.500 0.859 0.412
In 0.500 0.141 0.588
In 0.000 0.641 0.912
In 0.000 0.359 0.088
P 0.500 0.231 0.170
P 0.500 0.769 0.830
P 0.000 0.269 0.670
P 0.000 0.731 0.330
P 0.000 0.749 0.071
P 0.000 0.251 0.929
P 0.500 0.751 0.571
P 0.500 0.249 0.429
! crystal system: orthorhombic
! symmetry: Pnnm
! uncorrected energy: -65.495 eV/f.u.